Record 1
Below is an optimized crystal structure of La3W, with properties calculated at the PBE level.

* DFT total energy: -6.221 eV/atom
* formation energy: 713 meV/atom
* magnetic moment: 0.00 μB per cell

a = 6.292 Å, b = 6.292 Å, c = 6.292 Å
α = 117.04°, β = 117.04°, γ = 117.04°
Fractional positions:
La 0.000 0.500 0.500
La 0.500 0.000 0.500
La 0.500 0.500 0.000
W 0.000 0.000 0.000

---

Record 2
Below is an optimized crystal structure of NaCe2Er3Se6, with properties calculated at the PBE level.

* DFT total energy: -5.722 eV/atom
* E_form (uncorrected): -1.740 eV/atom
* magnetic moment: 2.24 μB per cell

a = 9.258 Å, b = 9.258 Å, c = 8.335 Å
α = 103.84°, β = 103.84°, γ = 25.44°
Fractional positions:
Na 0.000 0.000 0.000
Ce 0.331 0.331 0.660
Ce 0.669 0.669 0.340
Er 0.000 0.000 0.500
Er 0.334 0.334 0.172
Er 0.666 0.666 0.828
Se 0.162 0.162 0.592
Se 0.168 0.168 0.073
Se 0.498 0.498 0.256
Se 0.502 0.502 0.744
Se 0.832 0.832 0.927
Se 0.838 0.838 0.408

---

Record 3
Below is an optimized crystal structure of Ac12PmY3, with properties calculated at the PBE level.

* DFT total energy: -4.562 eV/atom
* formation energy: 28 meV/atom
* magnetic moment: 0.00 μB per cell

a = 5.505 Å, b = 5.505 Å, c = 21.996 Å
α = 90.00°, β = 90.00°, γ = 90.00°
Fractional positions:
Ac 0.000 0.000 0.000
Ac 0.000 0.000 0.250
Ac 0.000 0.000 0.500
Ac 0.000 0.000 0.750
Ac 0.000 0.500 0.125
Ac 0.000 0.500 0.374
Ac 0.000 0.500 0.626
Ac 0.000 0.500 0.875
Ac 0.500 0.000 0.125
Ac 0.500 0.000 0.374
Ac 0.500 0.000 0.626
Ac 0.500 0.000 0.875
Pm 0.500 0.500 0.500
Y 0.500 0.500 0.000
Y 0.500 0.500 0.249
Y 0.500 0.500 0.751

---

Record 4
Below is an optimized crystal structure of LaPa2Sn9, with properties calculated at the PBE level.

* DFT total energy: -5.386 eV/atom
* formation energy: -391 meV/atom
* magnetic moment: 0.00 μB per cell

a = 4.693 Å, b = 4.693 Å, c = 14.113 Å
α = 90.00°, β = 90.00°, γ = 90.00°
Fractional positions:
La 0.000 0.000 0.000
Pa 0.000 0.000 0.339
Pa 0.000 0.000 0.661
Sn 0.000 0.500 0.174
Sn 0.000 0.500 0.500
Sn 0.000 0.500 0.826
Sn 0.500 0.000 0.174
Sn 0.500 0.000 0.500
Sn 0.500 0.000 0.826
Sn 0.500 0.500 0.000
Sn 0.500 0.500 0.336
Sn 0.500 0.500 0.664

---

Record 5
Below is an optimized crystal structure of RbBeCdSe2, with properties calculated at the PBE level.

* DFT total energy: -3.021 eV/atom
* E_form (uncorrected): -0.506 eV/atom
* magnetic moment: 0.00 μB per cell

a = 7.592 Å, b = 5.100 Å, c = 7.840 Å
α = 90.00°, β = 94.00°, γ = 90.00°
Fractional positions:
Rb 0.000 0.238 0.250
Rb 0.000 0.762 0.750
Be 0.500 0.500 0.000
Be 0.500 0.500 0.500
Cd 0.500 0.092 0.250
Cd 0.500 0.908 0.750
Se 0.288 0.271 0.911
Se 0.288 0.729 0.411
Se 0.712 0.271 0.589
Se 0.712 0.729 0.089

---

Record 6
Below is an optimized crystal structure of Sr2Zn6GaIr, with properties calculated at the PBE level.

* DFT total energy: -2.514 eV/atom
* formation energy: -225 meV/atom
* magnetic moment: 0.00 μB per cell

a = 12.203 Å, b = 12.203 Å, c = 12.203 Å
α = 31.08°, β = 31.08°, γ = 31.08°
Fractional positions:
Sr 0.107 0.107 0.107
Sr 0.282 0.282 0.282
Sr 0.718 0.718 0.718
Sr 0.893 0.893 0.893
Zn 0.066 0.674 0.674
Zn 0.227 0.227 0.646
Zn 0.227 0.646 0.227
Zn 0.326 0.326 0.934
Zn 0.326 0.934 0.326
Zn 0.354 0.773 0.773
Zn 0.646 0.227 0.227
Zn 0.674 0.066 0.674
Zn 0.674 0.674 0.066
Zn 0.773 0.354 0.773
Zn 0.773 0.773 0.354
Zn 0.934 0.326 0.326
Ga 0.426 0.426 0.426
Ga 0.574 0.574 0.574
Ir 0.000 0.000 0.000
Ir 0.500 0.500 0.500

---

Record 7
Below is an optimized crystal structure of HfPtSN2, with properties calculated at the PBE level.

* DFT total energy: -6.145 eV/atom
* E_form (uncorrected): 1.210 eV/atom
* magnetic moment: 0.48 μB per cell

a = 3.734 Å, b = 3.734 Å, c = 5.094 Å
α = 90.00°, β = 90.00°, γ = 90.00°
Fractional positions:
Hf 0.000 0.000 0.000
Pt 0.500 0.500 0.000
S 0.000 0.000 0.500
N 0.000 0.500 0.500
N 0.500 0.000 0.500

---

Record 8
Below is an optimized crystal structure of HfRhIO2, with properties calculated at the PBE level.

* DFT total energy: -5.580 eV/atom
* E_form (uncorrected): 0.174 eV/atom
* magnetic moment: 0.05 μB per cell

a = 4.132 Å, b = 4.132 Å, c = 4.998 Å
α = 90.00°, β = 90.00°, γ = 90.00°
Fractional positions:
Hf 0.000 0.000 0.000
Rh 0.500 0.500 0.500
I 0.500 0.500 0.000
O 0.000 0.500 0.500
O 0.500 0.000 0.500